Material: CaMn2Cd3O6
Method: DFT, PBE+U
State: optimized geometry

abc: 7.431 7.431 6.630
angles: 102.78 102.78 25.91
Element x y z (fractional)
Ca (0.000, 0.000, 0.000)
Mn (0.332, 0.332, 0.662)
Mn (0.668, 0.668, 0.338)
Cd (0.000, 0.000, 0.500)
Cd (0.332, 0.332, 0.169)
Cd (0.668, 0.668, 0.831)
O (0.167, 0.167, 0.099)
O (0.172, 0.172, 0.571)
O (0.496, 0.496, 0.749)
O (0.504, 0.504, 0.251)
O (0.828, 0.828, 0.429)
O (0.833, 0.833, 0.901)

Results
Total energy (eV per atom): -5.66
Magnetization (μB per formula unit): 10.00
V (A^3/atom): 13.0